BaMgOs2 | PBE | relaxed

The structure in CIF format:
```
data_BaMgOs2
_chemical_formula_sum 'Ba2 Mg2 Os4'
_space_group_name_H-M_alt 'C 1 2/m 1'
_space_group_IT_number 12
_cell_length_a 9.376
_cell_length_b 2.977
_cell_length_c 6.481
_cell_angle_alpha 90.00
_cell_angle_beta 94.90
_cell_angle_gamma 90.00
loop_
_space_group_symop_operation_xyz
'x,y,z'
'-x,-y,-z'
'-x,y,-z'
'x,-y,z'
'x+1/2,y+1/2,z'
'-x+1/2,-y+1/2,-z'
'-x+1/2,y+1/2,-z'
'x+1/2,-y+1/2,z'
loop_
_atom_site_label
_atom_site_type_symbol
_atom_site_fract_x
_atom_site_fract_y
_atom_site_fract_z
_atom_site_occupancy
Ba1 Ba 0.000 0.000 0.000 1
Mg1 Mg 0.000 0.500 0.500 1
Os1 Os 0.234 0.000 0.653 1
```

Results
Volume in A^3/atom: 22.5
Energy of formation from the pure elements in kcal/mol of atoms: 17.187

BaMgOs2 | PBE | relaxed

The structure in CIF format:
```
data_BaMgOs2
_chemical_formula_sum 'Ba2 Mg2 Os4'
_space_group_name_H-M_alt 'C m m m'
_space_group_IT_number 65
_space_group_name_Hall '-C 2 2'
_cell_length_a 3.183
_cell_length_b 4.887
_cell_length_c 9.883
_cell_angle_alpha 90.00
_cell_angle_beta 90.00
_cell_angle_gamma 90.00
loop_
_atom_site_label
_atom_site_type_symbol
_atom_site_fract_x
_atom_site_fract_y
_atom_site_fract_z
_atom_site_occupancy
Ba1 Ba 0.000 0.000 0.000 1
Mg1 Mg 0.000 0.000 0.500 1
Os1 Os 0.000 0.500 0.280 1
```

Results
Volume in A^3/atom: 19.2
Energy of formation from the pure elements in kcal/mol of atoms: 24.233

BaMg2Os | PBE | relaxed

The structure in CIF format:
```
data_BaMg2Os
_chemical_formula_sum 'Ba1 Mg2 Os1'
_space_group_name_H-M_alt 'P 1 m 1'
_space_group_IT_number 6
_cell_length_a 3.588
_cell_length_b 3.598
_cell_length_c 7.914
_cell_angle_alpha 90.00
_cell_angle_beta 90.16
_cell_angle_gamma 90.00
loop_
_space_group_symop_operation_xyz
'x,y,z'
'x,-y,z'
loop_
_atom_site_label
_atom_site_type_symbol
_atom_site_fract_x
_atom_site_fract_y
_atom_site_fract_z
_atom_site_occupancy
Ba1 Ba 0.000 0.000 0.000 1
Mg1 Mg 0.497 0.500 0.615 1
Mg2 Mg 0.995 0.000 0.399 1
Os1 Os 0.495 0.500 0.276 1
```

Results
Volume in A^3/atom: 25.5
Energy of formation from the pure elements in kcal/mol of atoms: 8.696

BaMg2Os | PBE | relaxed

The structure in CIF format:
```
data_BaMg2Os
_chemical_formula_sum 'Ba4 Mg8 Os4'
_space_group_name_H-M_alt 'F m -3 m'
_space_group_IT_number 225
_space_group_name_Hall '-F 4 2 3'
_cell_length_a 7.165
_cell_length_b 7.165
_cell_length_c 7.165
_cell_angle_alpha 90.00
_cell_angle_beta 90.00
_cell_angle_gamma 90.00
loop_
_atom_site_label
_atom_site_type_symbol
_atom_site_fract_x
_atom_site_fract_y
_atom_site_fract_z
_atom_site_occupancy
Ba1 Ba 0.000 0.000 0.000 1
Mg1 Mg 0.250 0.250 0.250 1
Os1 Os 0.000 0.000 0.500 1
```

Results
Volume in A^3/atom: 23.0
Energy of formation from the pure elements in kcal/mol of atoms: 13.527

BaMg2Os | PBE | relaxed

The structure in CIF format:
```
data_BaMg2Os
_chemical_formula_sum 'Ba4 Mg8 Os4'
_space_group_name_H-M_alt 'I -4 2 d'
_space_group_IT_number 122
_space_group_name_Hall 'I -4 2bw'
_cell_length_a 5.224
_cell_length_b 5.224
_cell_length_c 18.210
_cell_angle_alpha 90.00
_cell_angle_beta 90.00
_cell_angle_gamma 90.00
loop_
_atom_site_label
_atom_site_type_symbol
_atom_site_fract_x
_atom_site_fract_y
_atom_site_fract_z
_atom_site_occupancy
Ba1 Ba 0.000 0.000 0.000 1
Mg1 Mg 0.046 0.250 0.625 1
Os1 Os 0.000 0.000 0.500 1
```

Results
Volume in A^3/atom: 31.1
Energy of formation from the pure elements in kcal/mol of atoms: 16.241

BaMgOs2 | PBE | relaxed

The structure in CIF format:
```
data_BaMgOs2
_chemical_formula_sum 'Ba1 Mg1 Os2'
_space_group_name_H-M_alt 'P 1 m 1'
_space_group_IT_number 6
_cell_length_a 2.971
_cell_length_b 3.719
_cell_length_c 8.193
_cell_angle_alpha 90.00
_cell_angle_beta 90.06
_cell_angle_gamma 90.00
loop_
_space_group_symop_operation_xyz
'x,y,z'
'x,-y,z'
loop_
_atom_site_label
_atom_site_type_symbol
_atom_site_fract_x
_atom_site_fract_y
_atom_site_fract_z
_atom_site_occupancy
Ba1 Ba 0.000 0.000 0.000 1
Mg1 Mg 0.503 0.500 0.642 1
Os1 Os 0.001 0.000 0.428 1
Os2 Os 0.500 0.500 0.307 1
```

Results
Volume in A^3/atom: 22.6
Energy of formation from the pure elements in kcal/mol of atoms: 10.148

BaMgOs2 | PBE | relaxed

The structure in CIF format:
```
data_BaMgOs2
_chemical_formula_sum 'Ba1 Mg1 Os2'
_space_group_name_H-M_alt 'P m m m'
_space_group_IT_number 47
_cell_length_a 2.947
_cell_length_b 4.377
_cell_length_c 6.901
_cell_angle_alpha 90.00
_cell_angle_beta 90.00
_cell_angle_gamma 90.00
loop_
_space_group_symop_operation_xyz
'x,y,z'
'-x,-y,-z'
'-x,-y,z'
'x,y,-z'
'x,-y,-z'
'-x,y,z'
'-x,y,-z'
'x,-y,z'
loop_
_atom_site_label
_atom_site_type_symbol
_atom_site_fract_x
_atom_site_fract_y
_atom_site_fract_z
_atom_site_occupancy
Ba1 Ba 0.000 0.000 0.000 1
Mg1 Mg 0.000 0.000 0.500 1
Os1 Os 0.500 0.500 0.333 1
```

Results
Volume in A^3/atom: 22.2
Energy of formation from the pure elements in kcal/mol of atoms: 17.169

BaMg2Os | PBE | relaxed

The structure in CIF format:
```
data_BaMg2Os
_chemical_formula_sum 'Ba2 Mg4 Os2'
_space_group_name_H-M_alt 'I 4/m m m'
_space_group_IT_number 139
_space_group_name_Hall '-I 4 2'
_cell_length_a 4.595
_cell_length_b 4.595
_cell_length_c 8.629
_cell_angle_alpha 90.00
_cell_angle_beta 90.00
_cell_angle_gamma 90.00
loop_
_atom_site_label
_atom_site_type_symbol
_atom_site_fract_x
_atom_site_fract_y
_atom_site_fract_z
_atom_site_occupancy
Ba1 Ba 0.000 0.000 0.000 1
Mg1 Mg 0.000 0.500 0.250 1
Os1 Os 0.000 0.000 0.500 1
```

Results
Volume in A^3/atom: 22.8
Energy of formation from the pure elements in kcal/mol of atoms: 12.823

BaMgOs2 | PBE | relaxed

The structure in CIF format:
```
data_BaMgOs2
_chemical_formula_sum 'Ba1 Mg1 Os2'
_space_group_name_H-M_alt 'P 4/m m m'
_space_group_IT_number 123
_space_group_name_Hall '-P 4 2'
_cell_length_a 3.464
_cell_length_b 3.464
_cell_length_c 7.376
_cell_angle_alpha 90.00
_cell_angle_beta 90.00
_cell_angle_gamma 90.00
loop_
_atom_site_label
_atom_site_type_symbol
_atom_site_fract_x
_atom_site_fract_y
_atom_site_fract_z
_atom_site_occupancy
Ba1 Ba 0.000 0.000 0.000 1
Mg1 Mg 0.000 0.000 0.500 1
Os1 Os 0.500 0.500 0.339 1
```

Results
Volume in A^3/atom: 22.1
Energy of formation from the pure elements in kcal/mol of atoms: 20.404

BaMg2Os | PBE | relaxed

The structure in CIF format:
```
data_BaMg2Os
_chemical_formula_sum 'Ba3 Mg6 Os3'
_space_group_name_H-M_alt 'R -3 m'
_space_group_IT_number 166
_space_group_name_Hall '-R 3 2"'
_cell_length_a 3.1491
_cell_length_b 3.1491
_cell_length_c 32.0550
_cell_angle_alpha 90.00
_cell_angle_beta 90.00
_cell_angle_gamma 120.00
loop_
_atom_site_label
_atom_site_type_symbol
_atom_site_fract_x
_atom_site_fract_y
_atom_site_fract_z
_atom_site_occupancy
Ba1 Ba 0.0000 0.0000 0.0000 1
Mg1 Mg 0.0000 0.0000 0.2311 1
Os1 Os 0.0000 0.0000 0.5000 1
```

Results
Volume in A^3/atom: 22.9
Energy of formation from the pure elements in kcal/mol of atoms: 14.019

BaMgOs2 | PBE | relaxed

The structure in CIF format:
```
data_BaMgOs2
_chemical_formula_sum 'Ba3 Mg3 Os6'
_space_group_name_H-M_alt 'R 3 m'
_space_group_IT_number 160
_space_group_name_Hall 'R 3 -2"'
_cell_length_a 4.3938
_cell_length_b 4.3938
_cell_length_c 18.1545
_cell_angle_alpha 90.00
_cell_angle_beta 90.00
_cell_angle_gamma 120.00
loop_
_atom_site_label
_atom_site_type_symbol
_atom_site_fract_x
_atom_site_fract_y
_atom_site_fract_z
_atom_site_occupancy
Ba1 Ba 0.0000 0.0000 0.0000 1
Mg1 Mg 0.0000 0.0000 0.1902 1
Os1 Os 0.0000 0.0000 0.4698 1
Os2 Os 0.0000 0.0000 0.7986 1
```

Results
Volume in A^3/atom: 25.3
Energy of formation from the pure elements in kcal/mol of atoms: 5.453

Ba2MgOs | PBE | relaxed

The structure in CIF format:
```
data_Ba2MgOs
_chemical_formula_sum 'Ba4 Mg2 Os2'
_space_group_name_H-M_alt 'C 1 2/m 1'
_space_group_IT_number 12
_cell_length_a 7.523
_cell_length_b 7.543
_cell_length_c 4.359
_cell_angle_alpha 90.00
_cell_angle_beta 90.09
_cell_angle_gamma 90.00
loop_
_space_group_symop_operation_xyz
'x,y,z'
'-x,-y,-z'
'-x,y,-z'
'x,-y,z'
'x+1/2,y+1/2,z'
'-x+1/2,-y+1/2,-z'
'-x+1/2,y+1/2,-z'
'x+1/2,-y+1/2,z'
loop_
_atom_site_label
_atom_site_type_symbol
_atom_site_fract_x
_atom_site_fract_y
_atom_site_fract_z
_atom_site_occupancy
Ba1 Ba 0.250 0.250 0.000 1
Mg1 Mg 0.000 0.000 0.500 1
Os1 Os 0.000 0.500 0.500 1
```

Results
Volume in A^3/atom: 30.9
Energy of formation from the pure elements in kcal/mol of atoms: 16.359

BaMgOs2 | PBE | relaxed

The structure in CIF format:
```
data_BaMgOs2
_chemical_formula_sum 'Ba2 Mg2 Os4'
_space_group_name_H-M_alt 'I m m 2'
_space_group_IT_number 44
_cell_length_a 3.020
_cell_length_b 5.397
_cell_length_c 10.930
_cell_angle_alpha 90.00
_cell_angle_beta 90.00
_cell_angle_gamma 90.00
loop_
_space_group_symop_operation_xyz
'x,y,z'
'-x,-y,z'
'-x,y,z'
'x,-y,z'
'x+1/2,y+1/2,z+1/2'
'-x+1/2,-y+1/2,z+1/2'
'-x+1/2,y+1/2,z+1/2'
'x+1/2,-y+1/2,z+1/2'
loop_
_atom_site_label
_atom_site_type_symbol
_atom_site_fract_x
_atom_site_fract_y
_atom_site_fract_z
_atom_site_occupancy
Ba1 Ba 0.000 0.000 0.000 1
Mg1 Mg 0.000 0.500 0.807 1
Os1 Os 0.000 0.000 0.541 1
Os2 Os 0.000 0.500 0.223 1
```

Results
Volume in A^3/atom: 22.3
Energy of formation from the pure elements in kcal/mol of atoms: 18.990

Ba2MgOs | PBE | relaxed

The structure in CIF format:
```
data_Ba2MgOs
_chemical_formula_sum 'Ba6 Mg3 Os3'
_space_group_name_H-M_alt 'R -3 m'
_space_group_IT_number 166
_space_group_name_Hall '-R 3 2"'
_cell_length_a 4.2578
_cell_length_b 4.2578
_cell_length_c 29.8554
_cell_angle_alpha 90.00
_cell_angle_beta 90.00
_cell_angle_gamma 120.00
loop_
_atom_site_label
_atom_site_type_symbol
_atom_site_fract_x
_atom_site_fract_y
_atom_site_fract_z
_atom_site_occupancy
Ba1 Ba 0.0000 0.0000 0.2304 1
Mg1 Mg 0.0000 0.0000 0.0000 1
Os1 Os 0.0000 0.0000 0.5000 1
```

Results
Volume in A^3/atom: 39.1
Energy of formation from the pure elements in kcal/mol of atoms: 17.918

BaMgOs4 | PBE | relaxed

The structure in CIF format:
```
data_BaMgOs4
_chemical_formula_sum 'Ba4 Mg4 Os16'
_space_group_name_H-M_alt 'F -4 3 m'
_space_group_IT_number 216
_space_group_name_Hall 'F -4 2 3'
_cell_length_a 7.687
_cell_length_b 7.687
_cell_length_c 7.687
_cell_angle_alpha 90.00
_cell_angle_beta 90.00
_cell_angle_gamma 90.00
loop_
_atom_site_label
_atom_site_type_symbol
_atom_site_fract_x
_atom_site_fract_y
_atom_site_fract_z
_atom_site_occupancy
Ba1 Ba 0.000 0.000 0.000 1
Mg1 Mg 0.250 0.250 0.750 1
Os1 Os 0.124 0.124 0.376 1
```

Results
Volume in A^3/atom: 18.9
Energy of formation from the pure elements in kcal/mol of atoms: 15.570

BaMgOs3 | PBE | relaxed

The structure in CIF format:
```
data_BaMgOs3
_chemical_formula_sum 'Ba1 Mg1 Os3'
_space_group_name_H-M_alt 'P m -3 m'
_space_group_IT_number 221
_space_group_name_Hall '-P 4 2 3'
_cell_length_a 4.778
_cell_length_b 4.778
_cell_length_c 4.778
_cell_angle_alpha 90.00
_cell_angle_beta 90.00
_cell_angle_gamma 90.00
loop_
_atom_site_label
_atom_site_type_symbol
_atom_site_fract_x
_atom_site_fract_y
_atom_site_fract_z
_atom_site_occupancy
Ba1 Ba 0.000 0.000 0.000 1
Mg1 Mg 0.500 0.500 0.500 1
Os1 Os 0.000 0.500 0.500 1
```

Results
Offset from the most stable computed form in eV per atom: 0.000
Volume in A^3/atom: 21.8
Energy of formation from the pure elements in kcal/mol of atoms: 45.997

BaMg2Os | PBE | relaxed

The structure in CIF format:
```
data_BaMg2Os
_chemical_formula_sum 'Ba2 Mg4 Os2'
_space_group_name_H-M_alt 'I m m 2'
_space_group_IT_number 44
_cell_length_a 3.207
_cell_length_b 4.553
_cell_length_c 15.092
_cell_angle_alpha 90.00
_cell_angle_beta 90.00
_cell_angle_gamma 90.00
loop_
_space_group_symop_operation_xyz
'x,y,z'
'-x,-y,z'
'-x,y,z'
'x,-y,z'
'x+1/2,y+1/2,z+1/2'
'-x+1/2,-y+1/2,z+1/2'
'-x+1/2,y+1/2,z+1/2'
'x+1/2,-y+1/2,z+1/2'
loop_
_atom_site_label
_atom_site_type_symbol
_atom_site_fract_x
_atom_site_fract_y
_atom_site_fract_z
_atom_site_occupancy
Ba1 Ba 0.000 0.000 0.000 1
Mg1 Mg 0.000 0.000 0.677 1
Mg2 Mg 0.000 0.500 0.813 1
Os1 Os 0.000 0.500 0.320 1
```

Results
Volume in A^3/atom: 27.5
Energy of formation from the pure elements in kcal/mol of atoms: 9.299

BaMg3Os | PBE | relaxed

The structure in CIF format:
```
data_BaMg3Os
_chemical_formula_sum 'Ba1 Mg3 Os1'
_space_group_name_H-M_alt 'P m -3 m'
_space_group_IT_number 221
_space_group_name_Hall '-P 4 2 3'
_cell_length_a 6.191
_cell_length_b 6.191
_cell_length_c 6.191
_cell_angle_alpha 90.00
_cell_angle_beta 90.00
_cell_angle_gamma 90.00
loop_
_atom_site_label
_atom_site_type_symbol
_atom_site_fract_x
_atom_site_fract_y
_atom_site_fract_z
_atom_site_occupancy
Ba1 Ba 0.000 0.000 0.000 1
Mg1 Mg 0.000 0.000 0.500 1
Os1 Os 0.500 0.500 0.500 1
```

Results
Offset from the most stable computed form in eV per atom: 2.134
Volume in A^3/atom: 47.5
Energy of formation from the pure elements in kcal/mol of atoms: 52.712

Ba2MgOs | PBE | relaxed

The structure in CIF format:
```
data_Ba2MgOs
_chemical_formula_sum 'Ba4 Mg2 Os2'
_space_group_name_H-M_alt 'A m m 2'
_space_group_IT_number 38
_cell_length_a 4.716
_cell_length_b 4.803
_cell_length_c 12.136
_cell_angle_alpha 90.00
_cell_angle_beta 90.00
_cell_angle_gamma 90.00
loop_
_space_group_symop_operation_xyz
'x,y,z'
'-x,-y,z'
'-x,y,z'
'x,-y,z'
'x,y+1/2,z+1/2'
'-x,-y+1/2,z+1/2'
'-x,y+1/2,z+1/2'
'x,-y+1/2,z+1/2'
loop_
_atom_site_label
_atom_site_type_symbol
_atom_site_fract_x
_atom_site_fract_y
_atom_site_fract_z
_atom_site_occupancy
Ba1 Ba 0.000 0.000 0.000 1
Ba2 Ba 0.500 0.000 0.279 1
Mg1 Mg 0.000 0.000 0.691 1
Os1 Os 0.500 0.000 0.593 1
```

Results
Volume in A^3/atom: 34.4
Energy of formation from the pure elements in kcal/mol of atoms: 10.311

BaMg2Os | PBE | relaxed

The structure in CIF format:
```
data_BaMg2Os
_chemical_formula_sum 'Ba4 Mg8 Os4'
_space_group_name_H-M_alt 'F -4 3 m'
_space_group_IT_number 216
_space_group_name_Hall 'F -4 2 3'
_cell_length_a 7.241
_cell_length_b 7.241
_cell_length_c 7.241
_cell_angle_alpha 90.00
_cell_angle_beta 90.00
_cell_angle_gamma 90.00
loop_
_atom_site_label
_atom_site_type_symbol
_atom_site_fract_x
_atom_site_fract_y
_atom_site_fract_z
_atom_site_occupancy
Ba1 Ba 0.000 0.000 0.000 1
Mg1 Mg 0.000 0.000 0.500 1
Mg2 Mg 0.250 0.250 0.750 1
Os1 Os 0.250 0.250 0.250 1
```

Results
Volume in A^3/atom: 23.7
Energy of formation from the pure elements in kcal/mol of atoms: 14.292